[1]
## MgFe3W (PBE)

Data for MgFe3W after structural relaxation.

The value obtained for the density of states at the Fermi level is 3.7 states/eV per cell. The formation energy is 1.82 eV/atom. Its offset from the most stable computed form is 546 meV/atom.

It has space group Pm-3m (No. 221), with a = 4.136 Å, b = 4.136 Å, c = 4.136 Å, α = 90.00°, β = 90.00° and γ = 90.00°. The inequivalent atoms are Mg at (0.000, 0.000, 0.000), Fe at (0.000, 0.000, 0.500) and W at (0.500, 0.500, 0.500).



[2]
## ZrTaCl2 (PBE)

Data for ZrTaCl2 after structural relaxation.

The value obtained for the density of states at the Fermi level is 3.3 states/eV per cell. The formation energy without anion corrections is 0.02 eV per atom. Its offset from the most stable computed form is 895 meV/atom.

It has space group P4/mmm (No. 123), with a = 2.996 Å, b = 2.996 Å, c = 11.286 Å, α = 90.00°, β = 90.00° and γ = 90.00°. The inequivalent atoms are Zr at (0.000, 0.000, 0.000), Ta at (0.000, 0.000, 0.500) and Cl at (0.500, 0.500, 0.146).



[3]
## Ba2MgAu (PBE)

Data for Ba2MgAu after structural relaxation.

The value obtained for the density of states at the Fermi level is 2.6 states/eV per cell. The formation energy is -0.30 eV/atom.

It has space group P4mm (No. 99), with a = 3.944 Å, b = 3.944 Å, c = 9.491 Å, α = 90.00°, β = 90.00° and γ = 90.00°. The inequivalent atoms are Ba at (0.000, 0.000, 0.000), Ba at (0.500, 0.500, 0.397), Mg at (0.000, 0.000, 0.652) and Au at (0.500, 0.500, 0.771).